Entry 1:
First-principles (GGA-PBE) data for a relaxed NbVH2 crystal, as listed in Alexandria.

```
NbVH2
1.0
5.3033 0.0000 0.0000
0.0000 5.3033 0.0000
0.0000 0.0000 5.3033
Nb V H
4 4 8
Direct
0.0000 0.0000 0.0000
0.0000 0.5000 0.5000
0.5000 0.0000 0.5000
0.5000 0.5000 0.0000
0.0000 0.0000 0.5000
0.0000 0.5000 0.0000
0.5000 0.0000 0.0000
0.5000 0.5000 0.5000
0.2500 0.2500 0.2500
0.2500 0.2500 0.7500
0.2500 0.7500 0.2500
0.2500 0.7500 0.7500
0.7500 0.2500 0.2500
0.7500 0.2500 0.7500
0.7500 0.7500 0.2500
0.7500 0.7500 0.7500
```

- space group = No. 225
- offset from the most stable computed form (meV/atom) = 561
- DOS at the Fermi energy (states/eV per cell) = 9.85
- magnetization (μB/atom) = 0.00

Entry 2:
First-principles (GGA-PBE) data for a relaxed NbV6H8 crystal, as listed in Alexandria.

```
NbV6H8
1.0
3.9344 2.2715 2.1754
-3.9344 2.2715 2.1754
0.0000 -4.5431 2.1754
Nb V H
1 6 8
Direct
0.0000 0.0000 0.0000
0.1463 0.2978 0.5872
0.2978 0.5872 0.1463
0.4128 0.8537 0.7022
0.5872 0.1463 0.2978
0.7022 0.4128 0.8537
0.8537 0.7022 0.4128
0.0970 0.6378 0.7886
0.2114 0.9030 0.3622
0.2993 0.2993 0.2993
0.3622 0.2114 0.9030
0.6378 0.7886 0.0970
0.7007 0.7007 0.7007
0.7886 0.0970 0.6378
0.9030 0.3622 0.2114
```

- space group = No. 148
- final energy (eV per formula unit) = -93.41
- DOS at the Fermi energy (states/eV per cell) = 7.80
- magnetization (μB/atom) = 0.00

Entry 3:
First-principles (GGA-PBE) data for a relaxed Nb2VH3 crystal, as listed in Alexandria.

```
Nb2VH3
1.0
4.2841 -2.9330 0.0000
4.2841 2.9330 0.0000
-1.4530 0.0000 4.6948
Nb V H
4 2 6
Direct
0.0322 0.2969 0.2229
0.2969 0.0322 0.7229
0.7031 0.9678 0.2771
0.9678 0.7031 0.7771
0.3880 0.6120 0.2500
0.6120 0.3880 0.7500
0.0843 0.9157 0.2500
0.2465 0.3801 0.6010
0.3801 0.2465 0.1010
0.6199 0.7535 0.8990
0.7535 0.6199 0.3990
0.9157 0.0843 0.7500
```

- space group = No. 15
- final energy (eV per formula unit) = -39.71
- DOS at the Fermi energy (states/eV per cell) = 3.96
- magnetization (μB/atom) = 0.00

Entry 4:
First-principles (GGA-PBE) data for a relaxed NbVH crystal, as listed in Alexandria.

```
NbVH
1.0
3.5951 0.0000 0.0000
0.0000 3.5951 0.0000
0.0000 0.0000 6.2509
Nb V H
2 2 2
Direct
0.0000 0.0000 0.0000
0.5000 0.5000 0.5000
0.0000 0.0000 0.4347
0.5000 0.5000 0.9347
0.0000 0.0000 0.7045
0.5000 0.5000 0.2045
```

- space group = No. 107
- offset from the most stable computed form (meV/atom) = 1061
- DOS at the Fermi energy (states/eV per cell) = 5.43
- magnetization (μB/atom) = 0.00

Entry 5:
First-principles (GGA-PBE) data for a relaxed Nb3VH crystal, as listed in Alexandria.

```
Nb3VH
1.0
4.1874 0.0000 0.0000
0.0000 4.1874 0.0000
0.0000 0.0000 4.1874
Nb V H
3 1 1
Direct
0.0000 0.0000 0.5000
0.0000 0.5000 0.0000
0.5000 0.0000 0.0000
0.5000 0.5000 0.5000
0.0000 0.0000 0.0000
```

- space group = No. 221
- offset from the most stable computed form (meV/atom) = 0
- DOS at the Fermi energy (states/eV per cell) = 6.47
- magnetization (μB/atom) = 0.22

Entry 6:
First-principles (GGA-PBE) data for a relaxed NbVH crystal, as listed in Alexandria.

```
NbVH
1.0
5.6403 0.0000 0.0000
0.0000 9.2295 0.0000
-1.9258 0.0000 5.3149
Nb V H
8 8 8
Direct
0.0029 0.2482 0.2510
0.0029 0.2518 0.7510
0.2548 0.5010 0.9960
0.2548 0.9990 0.4960
0.7452 0.0010 0.5040
0.7452 0.4990 0.0040
0.9971 0.7482 0.2490
0.9971 0.7518 0.7490
0.2441 0.0014 0.0097
0.2441 0.4986 0.5097
0.5000 0.2440 0.2479
0.5000 0.2560 0.7479
0.5000 0.7440 0.2521
0.5000 0.7560 0.7521
0.7559 0.5014 0.4903
0.7559 0.9986 0.9903
0.2839 0.1240 0.7824
0.2839 0.3760 0.2824
0.3302 0.6801 0.4492
0.3302 0.8199 0.9492
0.6698 0.1801 0.0508
0.6698 0.3199 0.5508
0.7161 0.6240 0.7176
0.7161 0.8760 0.2176
```

- space group = No. 14
- offset from the most stable computed form (meV/atom) = 20
- DOS at the Fermi energy (states/eV per cell) = 18.97
- magnetization (μB/atom) = 0.00

Entry 7:
First-principles (GGA-PBE) data for a relaxed NbVH2 crystal, as listed in Alexandria.

```
NbVH2
1.0
2.6703 0.0000 0.0000
0.0000 2.6703 0.0000
0.0000 0.0000 5.3044
Nb V H
1 1 2
Direct
0.0000 0.0000 0.0000
0.0000 0.0000 0.5000
0.5000 0.5000 0.2853
0.5000 0.5000 0.7147
```

- space group = No. 123
- offset from the most stable computed form (meV/atom) = 633
- DOS at the Fermi energy (states/eV per cell) = 2.38
- magnetization (μB/atom) = 0.00

Entry 8:
First-principles (GGA-PBE) data for a relaxed Nb2V2H5 crystal, as listed in Alexandria.

```
Nb2V2H5
1.0
5.3726 -1.5919 0.0000
5.3726 1.5919 0.0000
-1.6985 0.0000 4.4865
Nb V H
2 2 5
Direct
0.1072 0.1072 0.3185
0.8928 0.8928 0.6815
0.3776 0.3776 0.1832
0.6224 0.6224 0.8168
0.1912 0.1912 0.0114
0.3057 0.3057 0.4653
0.5000 0.5000 0.0000
0.6943 0.6943 0.5347
0.8088 0.8088 0.9886
```

- space group = No. 12
- final energy (eV per formula unit) = -56.67
- DOS at the Fermi energy (states/eV per cell) = 3.78
- magnetization (μB/atom) = 0.00

Entry 9:
First-principles (GGA-PBE) data for a relaxed NbVH crystal, as listed in Alexandria.

```
NbVH
1.0
2.8028 0.0000 0.0000
-0.2381 4.6067 0.0000
-0.8342 -0.2410 5.3107
Nb V H
2 2 2
Direct
0.1330 0.2393 0.3768
0.8670 0.7607 0.6232
0.3564 0.7688 0.1183
0.6436 0.2312 0.8817
0.1778 0.4846 0.8483
0.8222 0.5154 0.1517
```

- space group = No. 2
- offset from the most stable computed form (meV/atom) = 20
- DOS at the Fermi energy (states/eV per cell) = 3.85
- magnetization (μB/atom) = 0.00

Entry 10:
First-principles (GGA-PBE) data for a relaxed NbVH4 crystal, as listed in Alexandria.

```
NbVH4
1.0
2.7279 -3.9378 0.0000
2.7279 3.9378 0.0000
-2.6542 0.0000 4.4999
Nb V H
2 2 8
Direct
0.1213 0.8787 0.7500
0.8787 0.1213 0.2500
0.4772 0.5228 0.7500
0.5228 0.4772 0.2500
0.0737 0.2422 0.6818
0.2422 0.0737 0.1818
0.2656 0.5847 0.4376
0.4153 0.7344 0.0624
0.5847 0.2656 0.9376
0.7344 0.4153 0.5624
0.7578 0.9263 0.8182
0.9263 0.7578 0.3182
```

- space group = No. 15
- offset from the most stable computed form (meV/atom) = 179
- DOS at the Fermi energy (states/eV per cell) = 2.39
- magnetization (μB/atom) = 0.00

Entry 11:
First-principles (GGA-PBE) data for a relaxed NbV3H3 crystal, as listed in Alexandria.

```
NbV3H3
1.0
2.4802 1.4319 6.5945
-2.4802 1.4319 6.5945
0.0000 -2.8638 6.5945
Nb V H
2 6 6
Direct
0.1661 0.1661 0.1661
0.8339 0.8339 0.8339
0.0601 0.3826 0.7073
0.2927 0.9399 0.6174
0.3826 0.7073 0.0601
0.6174 0.2927 0.9399
0.7073 0.0601 0.3826
0.9399 0.6174 0.2927
0.0942 0.7791 0.4393
0.2209 0.5607 0.9058
0.4393 0.0942 0.7791
0.5607 0.9058 0.2209
0.7791 0.4393 0.0942
0.9058 0.2209 0.5607
```

- space group = No. 148
- final energy (eV per formula unit) = -47.24
- DOS at the Fermi energy (states/eV per cell) = 12.92
- magnetization (μB/atom) = 0.00

Entry 12:
First-principles (GGA-PBE) data for a relaxed Nb3VH crystal, as listed in Alexandria.

```
Nb3VH
1.0
4.6444 0.0000 0.0000
0.0000 4.6444 0.0000
0.0000 0.0000 4.6444
Nb V H
3 1 1
Direct
0.0000 0.0000 0.5000
0.0000 0.5000 0.0000
0.5000 0.0000 0.0000
0.0000 0.0000 0.0000
0.5000 0.5000 0.5000
```

- space group = No. 221
- offset from the most stable computed form (meV/atom) = 1533
- DOS at the Fermi energy (states/eV per cell) = 7.64
- magnetization (μB/atom) = 0.00

Entry 13:
First-principles (GGA-PBE) data for a relaxed Nb2V3H5 crystal, as listed in Alexandria.

```
Nb2V3H5
1.0
-3.0519 5.9845 2.4922
3.0519 -5.9845 2.4922
3.0519 5.9845 -2.4922
Nb V H
4 6 10
Direct
0.1834 0.1996 0.3830
0.3166 0.6996 0.0162
0.6834 0.3004 0.9838
0.8166 0.8004 0.6170
0.0804 0.6410 0.7214
0.2500 0.2500 0.0000
0.4196 0.1410 0.5606
0.5804 0.8590 0.4394
0.7500 0.7500 0.0000
0.9196 0.3590 0.2786
0.0561 0.7500 0.3061
0.1049 0.9311 0.0360
0.2500 0.7500 0.5000
0.3951 0.4311 0.8262
0.4439 0.7500 0.6939
0.5561 0.2500 0.3061
0.6049 0.5689 0.1738
0.7500 0.2500 0.5000
0.8951 0.0689 0.9640
0.9439 0.2500 0.6939
```

- space group = No. 72
- final energy (eV per formula unit) = -64.38
- DOS at the Fermi energy (states/eV per cell) = 16.01
- magnetization (μB/atom) = 0.00

Entry 14:
First-principles (GGA-PBE) data for a relaxed NbVH2 crystal, as listed in Alexandria.

```
NbVH2
1.0
3.0489 0.0000 0.0000
-1.5244 2.6404 0.0000
0.0000 0.0000 13.3223
Nb V H
3 3 6
Direct
0.0000 0.0000 0.0000
0.3333 0.6667 0.6667
0.6667 0.3333 0.3333
0.0000 0.0000 0.5000
0.3333 0.6667 0.1667
0.6667 0.3333 0.8333
0.0000 0.0000 0.2419
0.0000 0.0000 0.7581
0.3333 0.6667 0.4248
0.3333 0.6667 0.9086
0.6667 0.3333 0.0914
0.6667 0.3333 0.5752
```

- space group = No. 166
- offset from the most stable computed form (meV/atom) = 54
- DOS at the Fermi energy (states/eV per cell) = 5.90
- magnetization (μB/atom) = 0.00

Entry 15:
First-principles (GGA-PBE) data for a relaxed NbVH4 crystal, as listed in Alexandria.

```
NbVH4
1.0
-2.1982 2.1982 4.3860
2.1982 -2.1982 4.3860
2.1982 2.1982 -4.3860
Nb V H
2 2 8
Direct
0.3750 0.6250 0.7500
0.6250 0.3750 0.2500
0.1250 0.8750 0.2500
0.8750 0.1250 0.7500
0.0000 0.2294 0.2294
0.0000 0.7706 0.7706
0.2294 0.0000 0.7294
0.2294 0.5000 0.2294
0.5000 0.2294 0.7294
0.5000 0.7706 0.2706
0.7706 0.0000 0.2706
0.7706 0.5000 0.7706
```

- space group = No. 141
- offset from the most stable computed form (meV/atom) = 5
- DOS at the Fermi energy (states/eV per cell) = 3.83
- magnetization (μB/atom) = 0.00

Entry 16:
First-principles (GGA-PBE) data for a relaxed NbVH crystal, as listed in Alexandria.

```
NbVH
1.0
3.3291 0.0000 0.0000
0.0000 4.3937 0.0000
0.0000 0.0000 4.6732
Nb V H
2 2 2
Direct
0.0000 0.0004 0.0000
0.5000 0.9996 0.5000
0.0000 0.4971 0.5009
0.5000 0.5029 0.0009
0.0000 0.4426 0.8800
0.5000 0.5574 0.3800
```

- space group = No. 31
- offset from the most stable computed form (meV/atom) = 0
- DOS at the Fermi energy (states/eV per cell) = 3.96
- magnetization (μB/atom) = 0.00

Entry 17:
First-principles (GGA-PBE) data for a relaxed Nb2V2H3 crystal, as listed in Alexandria.

```
Nb2V2H3
1.0
5.3417 0.0000 0.0000
0.0000 5.2122 0.0000
-3.1331 0.0000 5.0534
Nb V H
4 4 6
Direct
0.1680 0.1406 0.3961
0.1680 0.3594 0.8961
0.8320 0.6406 0.1039
0.8320 0.8594 0.6039
0.3717 0.6555 0.6216
0.3717 0.8445 0.1216
0.6283 0.1555 0.8784
0.6283 0.3445 0.3784
0.0000 0.0000 0.0000
0.0000 0.5000 0.5000
0.2674 0.5257 0.2513
0.2674 0.9743 0.7513
0.7326 0.0257 0.2487
0.7326 0.4743 0.7487
```

- space group = No. 14
- final energy (eV per formula unit) = -49.07
- DOS at the Fermi energy (states/eV per cell) = 8.44
- magnetization (μB/atom) = 0.00

Entry 18:
First-principles (GGA-PBE) data for a relaxed NbVH2 crystal, as listed in Alexandria.

```
NbVH2
1.0
2.9021 0.0000 0.0000
0.9690 2.7367 0.0000
0.0076 0.0271 4.6818
Nb V H
1 1 2
Direct
0.0000 0.0000 0.0000
0.5048 0.5053 0.5125
0.3757 0.3730 0.1593
0.8793 0.8782 0.5966
```

- space group = No. 1
- offset from the most stable computed form (meV/atom) = 4
- DOS at the Fermi energy (states/eV per cell) = 1.08
- magnetization (μB/atom) = 0.00

Entry 19:
First-principles (GGA-PBE) data for a relaxed NbVH4 crystal, as listed in Alexandria.

```
NbVH4
1.0
3.0896 0.0000 0.0000
0.0000 3.0896 0.0000
0.0000 0.0000 4.4336
Nb V H
1 1 4
Direct
0.0000 0.0000 0.0000
0.5000 0.5000 0.5000
0.0000 0.5000 0.2733
0.0000 0.5000 0.7267
0.5000 0.0000 0.2733
0.5000 0.0000 0.7267
```

- space group = No. 123
- offset from the most stable computed form (meV/atom) = 0
- DOS at the Fermi energy (states/eV per cell) = 2.43
- magnetization (μB/atom) = 0.05

Entry 20:
First-principles (GGA-PBE) data for a relaxed NbVH crystal, as listed in Alexandria.

```
NbVH
1.0
2.8246 0.0000 0.0000
-1.4123 2.4461 0.0000
0.0000 0.0000 5.0126
Nb V H
1 1 1
Direct
0.0000 0.0000 0.0000
0.6667 0.3333 0.4864
0.3333 0.6667 0.6852
```

- space group = No. 156
- offset from the most stable computed form (meV/atom) = 196
- DOS at the Fermi energy (states/eV per cell) = 2.52
- magnetization (μB/atom) = 0.00